Entry 1:
The following is a PBE-GGA calculation of an optimized crystal structure of TiCr2Cu, from Alexandria via LeMat-Bulk.

POSCAR file:
```
TiCr2Cu
1.0
-3.352 3.352 2.456
3.352 -3.352 2.456
3.352 3.352 -2.456
Ti Cr Cu
2 4 2
direct
0.000 0.000 0.000
0.750 0.250 0.500
0.139 0.625 0.014
0.375 0.389 0.514
0.611 0.125 0.986
0.875 0.861 0.486
0.250 0.750 0.500
0.500 0.500 0.000
```

crystal system: tetragonal
VASP energy: -7.12 eV per atom
E above lowest polymorph: 317 meV per atom
total magnetic moment: 0.000 μB per formula unit
calculated formation energy: 0.6889 eV per atom



Entry 2:
The following is a PBE-GGA calculation of an optimized crystal structure of Sc2OsBr, from Alexandria via LeMat-Bulk.

POSCAR file:
```
Sc2OsBr
1.0
-1.643 1.788 7.407
1.643 -1.788 7.407
1.643 1.788 -7.407
Sc Os Br
2 1 1
direct
0.000 0.000 0.000
0.797 0.297 0.500
0.420 0.420 0.000
0.169 0.669 0.500
```

crystal system: orthorhombic
VASP energy: -6.89 eV per atom
E above lowest polymorph: 249 meV per atom
total magnetic moment: 0.001 μB per formula unit



Entry 3:
The following is a PBE-GGA calculation of an optimized crystal structure of PuP3Rh5, from Alexandria via LeMat-Bulk.

POSCAR file:
```
PuP3Rh5
1.0
1.950 -6.070 0.000
1.950 6.070 0.000
0.000 0.000 12.072
Pu P Rh
2 6 10
direct
0.143 0.857 0.750
0.857 0.143 0.250
0.117 0.883 0.250
0.390 0.610 0.050
0.390 0.610 0.450
0.610 0.390 0.550
0.610 0.390 0.950
0.883 0.117 0.750
0.000 0.000 0.000
0.000 0.000 0.500
0.211 0.789 0.077
0.211 0.789 0.423
0.437 0.563 0.640
0.437 0.563 0.860
0.563 0.437 0.140
0.563 0.437 0.360
0.789 0.211 0.577
0.789 0.211 0.923
```

crystal system: orthorhombic
VASP energy: -8.19 eV per atom
total magnetic moment: 5.114 μB per formula unit
calculated formation energy: -0.7133 eV per atom



Entry 4:
The following is a PBE-GGA calculation of an optimized crystal structure of ThMn2Se4, from Alexandria via LeMat-Bulk.

POSCAR file:
```
ThMn2Se4
1.0
-4.493 4.493 4.207
4.493 -4.493 4.207
4.493 4.493 -4.207
Th Mn Se
2 4 8
direct
0.375 0.625 0.750
0.625 0.375 0.250
0.000 0.000 0.000
0.000 0.000 0.500
0.000 0.500 0.000
0.500 0.000 0.500
0.132 0.698 0.434
0.236 0.302 0.934
0.302 0.236 0.434
0.302 0.868 0.066
0.698 0.132 0.934
0.698 0.764 0.566
0.764 0.698 0.066
0.868 0.302 0.566
```

crystal system: tetragonal
VASP energy: -6.58 eV per atom
total magnetic moment: 10.004 μB per formula unit